No. 1
Cd2HgAs: optimized geometry, PBE-GGA.

Properties
Offset from the most stable computed form (eV/atom): 0.1293
Electronic total energy (eV/atom): -1.55
Crystal system: tetragonal
DFT formation energy (meV per atom): 144
Total moment (Bohr magnetons per cell): 0.000

Cell lengths 3.2268, 3.2268, 8.6839 Å; angles 90.00, 90.00, 90.00 degrees
Element x y z (fractional)
As: 0.5000 0.5000 0.7500
Hg: 0.5000 0.5000 0.2500
Cd: 0.0000 0.0000 0.9884
Cd: 0.0000 0.0000 0.5116

No. 2
LiErTe2O8: optimized geometry, PBE-GGA.

Properties
Electronic total energy (eV/atom): -5.89
Crystal system: tetragonal
Formation energy from raw total energies (meV per atom): -1525
Total moment (Bohr magnetons per cell): 0.000

Cell lengths 6.1180, 6.1180, 6.1180 Å; angles 106.97, 106.97, 114.61 degrees
Element x y z (fractional)
Li: 0.0000 0.0000 0.0000
Er: 0.2500 0.7500 0.5000
Te: 0.7500 0.2500 0.5000
Te: 0.5000 0.5000 0.0000
O: 0.3735 0.0623 0.3112
O: 0.3248 0.5198 0.1950
O: 0.3248 0.1298 0.8050
O: 0.7511 0.0623 0.6888
O: 0.8702 0.6752 0.1950
O: 0.9377 0.2489 0.3112
O: 0.9377 0.6265 0.6888
O: 0.4802 0.6752 0.8050

No. 3
CaDySe2O8: optimized geometry, PBE-GGA.

Properties
Electronic total energy (eV/atom): -6.04
Crystal system: trigonal
Formation energy from raw total energies (meV per atom): -1605
Total moment (Bohr magnetons per cell): 0.000

Cell lengths 5.7374, 5.7374, 6.9753 Å; angles 90.00, 90.00, 120.00 degrees
Element x y z (fractional)
Ca: 0.0000 0.0000 0.0000
Dy: 0.0000 0.0000 0.5000
Se: 0.6667 0.3333 0.2053
Se: 0.3333 0.6667 0.7947
O: 0.3333 0.6667 0.0316
O: 0.3258 0.1631 0.2746
O: 0.8369 0.1627 0.2746
O: 0.6667 0.3333 0.9684
O: 0.1631 0.8373 0.7254
O: 0.6742 0.8369 0.7254
O: 0.1627 0.3258 0.7254
O: 0.8373 0.6742 0.2746

No. 4
Ho6BS5: optimized geometry, PBE-GGA.

Properties
Electronic total energy (eV/atom): -6.34
Crystal system: monoclinic
Formation energy from raw total energies (meV per atom): -1780
Total moment (Bohr magnetons per cell): 0.000

Cell lengths 6.7305, 6.7273, 6.7185 Å; angles 59.96, 80.42, 70.57 degrees
Element x y z (fractional)
S: 0.5000 0.1716 0.6568
S: 0.0000 0.3338 0.3324
S: 0.5000 0.5000 0.0000
S: 0.0000 0.6662 0.6676
S: 0.5000 0.8284 0.3432
B: 0.0000 0.0000 0.0000
Ho: 0.7655 0.0780 0.3113
Ho: 0.2345 0.6106 0.3113
Ho: 0.2353 0.2324 0.0000
Ho: 0.7647 0.7676 0.0000
Ho: 0.7655 0.3894 0.6887
Ho: 0.2345 0.9220 0.6887

No. 5
Pm3Y3Si4: optimized geometry, PBE-GGA.

Properties
Electronic total energy (eV/atom): -6.25
Crystal system: orthorhombic
Formation energy from raw total energies (meV per atom): -712
Total moment (Bohr magnetons per cell): 0.000

Cell lengths 4.3244, 7.5699, 7.5699 Å; angles 89.49, 90.00, 90.00 degrees
Element x y z (fractional)
Pm: 0.5000 0.8249 0.1751
Pm: 0.5000 0.3218 0.3244
Pm: 0.5000 0.6756 0.6782
Y: 0.0000 0.5014 0.0012
Y: 0.0000 0.9988 0.4986
Y: 0.5000 0.1767 0.8233
Si: 0.0000 0.6127 0.3873
Si: 0.0000 0.3810 0.6190
Si: 0.0000 0.8893 0.8823
Si: 0.0000 0.1177 0.1107

No. 6
Tb2HoEr2: optimized geometry, PBE-GGA.

Properties
Offset from the most stable computed form (eV/atom): 0.0000
Electronic total energy (eV/atom): -4.57
Crystal system: triclinic
DFT formation energy (meV per atom): 19
Total moment (Bohr magnetons per cell): 0.000

Cell lengths 4.9836, 6.0982, 11.1411 Å; angles 89.94, 90.09, 114.14 degrees
Element x y z (fractional)
Tb: 0.3501 0.7002 0.4499
Tb: 0.4502 0.9004 0.1496
Tb: 0.6499 0.2998 0.5501
Tb: 0.5498 0.0996 0.8504
Ho: 0.7498 0.4996 0.2494
Ho: 0.2502 0.5004 0.7506
Er: 0.9500 0.9000 0.6504
Er: 0.1503 0.3006 0.0500
Er: 0.0500 0.1000 0.3496
Er: 0.8497 0.6994 0.9500

electronic total energy of number 1 (Cd2HgAs)? -1.55 eV/atom

What is the formula in the fifth record? Pm3Y3Si4